Computed, not measured: a geometry-optimized ZnAu2 structure at the PBEsol level of DFT.

Unit cell a=4.5095 b=4.5354 c=5.1737 alpha=116.00 beta=90.00 gamma=90.00
Last column: nearest neighbours and their distance in Å.
Sites, in units of the cell vectors:
Zn 0.2500 0.7893 0.0000  8 Au 2.67-2.70, 2 Zn 2.96
Zn 0.7500 0.2107 0.0000  8 Au 2.67-2.70, 2 Zn 2.96
Au 0.2500 0.1309 0.6904  4 Zn 2.67-2.70, 7 Au 2.88-2.98
Au 0.2500 0.4405 0.3096  4 Zn 2.67-2.70, 7 Au 2.88-2.98
Au 0.7500 0.5595 0.6904  4 Zn 2.67-2.70, 7 Au 2.88-2.98
Au 0.7500 0.8691 0.3096  4 Zn 2.67-2.70, 7 Au 2.88-2.98

D(E_F)	1.6	states/eV/cell
energy	-0.24358	Ry per atom
mass density	16.0	g/cm³

***

Computed, not measured: a geometry-optimized Zn5Au3 structure at the PBEsol level of DFT.

Unit cell a=5.0811 b=7.4336 c=7.4336 alpha=83.29 beta=70.02 gamma=70.02
Last column: nearest neighbours and their distance in Å.
Sites, in units of the cell vectors:
Zn 0.7685 0.3078 0.1551  6 Au 2.60-2.87, 1 Zn 2.69
Zn 0.0763 0.1551 0.6922  6 Au 2.60-2.87, 1 Zn 2.69
Zn 0.2685 0.1551 0.3078  6 Au 2.60-2.87, 1 Zn 2.69
Zn 0.7500 0.5000 0.5000  2 Zn 2.54, 4 Au 2.67
Zn 0.2315 0.6922 0.8449  6 Au 2.60-2.87, 1 Zn 2.69
Zn 0.2500 0.5000 0.5000  2 Zn 2.54, 4 Au 2.67
Zn 0.4237 0.3078 0.8449  6 Au 2.60-2.87, 1 Zn 2.69
Zn 0.5763 0.6922 0.1551  6 Au 2.60-2.87, 1 Zn 2.69
Zn 0.9237 0.8449 0.3078  6 Au 2.60-2.87, 1 Zn 2.69
Zn 0.7315 0.8449 0.6922  6 Au 2.60-2.87, 1 Zn 2.69
Au 0.6679 0.1643 0.5000  10 Zn 2.60-2.87
Au 0.7500 0.0000 0.0000  2 Au 2.54, 8 Zn 2.72
Au 0.8321 0.5000 0.8357  10 Zn 2.60-2.87
Au 0.3321 0.8357 0.5000  10 Zn 2.60-2.87
Au 0.1679 0.5000 0.1643  10 Zn 2.60-2.87
Au 0.2500 0.0000 0.0000  2 Au 2.54, 8 Zn 2.72

D(E_F)	2.2	states/eV/cell
energy	-0.19392	Ry per atom
mass density	12.3	g/cm³
offset from the most stable computed form	0	meV/atom

***

Computed, not measured: a geometry-optimized Zn2Au3 structure at the PBEsol level of DFT.

Unit cell a=5.0597 b=5.3456 c=7.0655 alpha=99.76 beta=110.98 gamma=61.75
Last column: nearest neighbours and their distance in Å.
Sites, in units of the cell vectors:
Au 0.0730 0.0000 0.0000  6 Zn 2.67-2.88, 6 Au 2.85-2.97
Au 0.7366 0.9028 0.2055  5 Zn 2.66-2.83, 6 Au 2.74-2.97
Au 0.4339 0.0972 0.7945  5 Zn 2.66-2.83, 6 Au 2.74-2.97
Au 0.3230 0.5000 0.5000  6 Zn 2.67-2.88, 6 Au 2.85-2.97
Au 0.8893 0.5972 0.7055  5 Zn 2.66-2.83, 6 Au 2.74-2.97
Au 0.7811 0.4028 0.2945  5 Zn 2.66-2.83, 6 Au 2.74-2.97
Zn 0.2066 0.4412 0.0979  8 Au 2.66-2.88, 2 Zn 2.89
Zn 0.8979 0.0588 0.5979  8 Au 2.66-2.88, 2 Zn 2.89
Zn 0.3588 0.9412 0.4021  8 Au 2.66-2.88, 2 Zn 2.89
Zn 0.5500 0.5588 0.9021  8 Au 2.66-2.88, 2 Zn 2.89

D(E_F)	2.7	states/eV/cell
energy	-0.23436	Ry per atom
mass density	15.2	g/cm³
offset from the most stable computed form	0	meV/atom

***

Computed, not measured: a geometry-optimized ZnAu structure at the PBEsol level of DFT.

Unit cell a=3.9345 b=3.9345 c=5.3661 alpha=90.00 beta=90.00 gamma=120.00
Last column: nearest neighbours and their distance in Å.
Sites, in units of the cell vectors:
Zn 0.3333 0.6667 0.2500  6 Au 2.64
Zn 0.6667 0.3333 0.7500  6 Au 2.64
Au 0.0000 0.0000 0.0000  6 Zn 2.64, 2 Au 2.68
Au 0.0000 0.0000 0.5000  6 Zn 2.64, 2 Au 2.68

D(E_F)	1.1	states/eV/cell
energy	-0.21114	Ry per atom
mass density	12.1	g/cm³

***

Computed, not measured: a geometry-optimized Zn22Au structure at the PBEsol level of DFT.

Unit cell a=9.8171 b=9.8171 c=9.8171 alpha=60.00 beta=60.00 gamma=60.00
Last column: nearest neighbours and their distance in Å.
Sites, in units of the cell vectors:
Zn 0.6424 0.3576 0.6424  4 Zn 2.47-2.59
Zn 0.3576 0.6424 0.6424  4 Zn 2.47-2.59
Zn 0.1250 0.6250 0.1250  12 Zn 2.92, 2 Au 3.01
Zn 0.1826 0.9284 0.4445  7 Zn 2.50-2.78
Zn 0.1250 0.6250 0.6250  6 Zn 2.47
Zn 0.8055 0.3216 0.0674  7 Zn 2.50-2.78
Zn 0.6250 0.1250 0.1250  12 Zn 2.92, 2 Au 3.01
Zn 0.6250 0.1250 0.6250  6 Zn 2.47
Zn 0.6250 0.6250 0.6250  6 Zn 2.47
Zn 0.3216 0.8055 0.8055  7 Zn 2.50-2.78
Zn 0.4445 0.1826 0.4445  7 Zn 2.50-2.78
Zn 0.3216 0.8055 0.0674  7 Zn 2.50-2.78
Zn 0.8055 0.3216 0.8055  7 Zn 2.50-2.78
Zn 0.1826 0.4445 0.9284  7 Zn 2.50-2.78
Zn 0.9284 0.1826 0.4445  7 Zn 2.50-2.78
Zn 0.8924 0.6076 0.6076  4 Zn 2.47-2.59
Zn 0.9284 0.4445 0.4445  7 Zn 2.50-2.78
Zn 0.0674 0.8055 0.3216  7 Zn 2.50-2.78
Zn 0.1250 0.1250 0.1250  12 Zn 2.92, 2 Au 3.01
Zn 0.8924 0.8924 0.6076  4 Zn 2.47-2.59
Zn 0.3216 0.0674 0.8055  7 Zn 2.50-2.78
Zn 0.6076 0.8924 0.8924  4 Zn 2.47-2.59
Zn 0.8924 0.6076 0.8924  4 Zn 2.47-2.59
Zn 0.6424 0.6424 0.3576  4 Zn 2.47-2.59
Zn 0.4445 0.1826 0.9284  7 Zn 2.50-2.78
Zn 0.8055 0.0674 0.3216  7 Zn 2.50-2.78
Zn 0.0674 0.3216 0.8055  7 Zn 2.50-2.78
Zn 0.6076 0.6076 0.8924  4 Zn 2.47-2.59
Zn 0.3576 0.3576 0.6424  4 Zn 2.47-2.59
Zn 0.1250 0.1250 0.6250  12 Zn 2.92, 2 Au 3.01
Zn 0.6250 0.6250 0.1250  6 Zn 2.47
Zn 0.4445 0.4445 0.1826  7 Zn 2.50-2.78
Zn 0.4445 0.9284 0.1826  7 Zn 2.50-2.78
Zn 0.4445 0.4445 0.9284  7 Zn 2.50-2.78
Zn 0.3576 0.6424 0.3576  4 Zn 2.47-2.59
Zn 0.9284 0.4445 0.1826  7 Zn 2.50-2.78
Zn 0.8055 0.8055 0.3216  7 Zn 2.50-2.78
Zn 0.4445 0.9284 0.4445  7 Zn 2.50-2.78
Zn 0.8055 0.8055 0.0674  7 Zn 2.50-2.78
Zn 0.8055 0.0674 0.8055  7 Zn 2.50-2.78
Zn 0.6076 0.8924 0.6076  4 Zn 2.47-2.59
Zn 0.1826 0.4445 0.4445  7 Zn 2.50-2.78
Zn 0.6424 0.3576 0.3576  4 Zn 2.47-2.59
Zn 0.0674 0.8055 0.8055  7 Zn 2.50-2.78
Au 0.0000 0.0000 0.0000  16 Zn 2.97-3.01
Au 0.2500 0.2500 0.2500  16 Zn 2.97-3.01

D(E_F)	13.1	states/eV/cell
energy	-0.11869	Ry per atom
mass density	8.1	g/cm³

***

Computed, not measured: a geometry-optimized Zn5Au3 structure at the PBEsol level of DFT.

Unit cell a=4.0270 b=5.4754 c=5.4754 alpha=96.47 beta=90.00 gamma=90.00
Last column: nearest neighbours and their distance in Å.
Sites, in units of the cell vectors:
Zn 0.0000 0.0000 0.0000  8 Zn 2.74-2.77, 4 Au 2.76
Zn 0.5000 0.2615 0.2615  6 Au 2.66-2.80, 6 Zn 2.77-2.87
Zn 0.0000 0.0000 0.5000  6 Au 2.72-2.74, 6 Zn 2.74-2.87
Zn 0.0000 0.5000 0.0000  6 Au 2.72-2.74, 6 Zn 2.74-2.87
Zn 0.5000 0.7385 0.7385  6 Au 2.66-2.80, 6 Zn 2.77-2.87
Au 0.0000 0.5000 0.5000  8 Zn 2.66-2.74
Au 0.5000 0.2306 0.7694  10 Zn 2.68-2.80, 2 Au 2.98
Au 0.5000 0.7694 0.2306  10 Zn 2.68-2.80, 2 Au 2.98

D(E_F)	1.9	states/eV/cell
energy	-0.19377	Ry per atom
mass density	12.7	g/cm³
offset from the most stable computed form	2	meV/atom

***

Computed, not measured: a geometry-optimized Zn3Au2 structure at the PBEsol level of DFT.

Unit cell a=2.8798 b=2.8798 c=10.8275 alpha=82.36 beta=82.36 gamma=60.00
Last column: nearest neighbours and their distance in Å.
Sites, in units of the cell vectors:
Zn 0.0000 0.0000 0.0000  6 Au 2.72, 6 Zn 2.88
Zn 0.1986 0.1986 0.4043  9 Zn 2.64-2.88, 3 Au 2.73
Zn 0.8014 0.8014 0.5957  9 Zn 2.64-2.88, 3 Au 2.73
Au 0.4006 0.4006 0.7982  6 Zn 2.72-2.73, 6 Au 2.88
Au 0.5994 0.5994 0.2018  6 Zn 2.72-2.73, 6 Au 2.88

D(E_F)	1.6	states/eV/cell
energy	-0.19274	Ry per atom
mass density	12.8	g/cm³
offset from the most stable computed form	78	meV/atom

***

Computed, not measured: a geometry-optimized Zn3Au5 structure at the PBEsol level of DFT.

Unit cell a=4.2293 b=5.4751 c=5.4751 alpha=95.40 beta=90.00 gamma=90.00
Last column: nearest neighbours and their distance in Å.
Sites, in units of the cell vectors:
Au 0.5000 0.2919 0.2919  6 Zn 2.61-2.78
Au 0.0000 0.0000 0.0000  8 Au 2.74-3.02, 4 Zn 2.75
Au 0.5000 0.7081 0.7081  6 Zn 2.61-2.78
Au 0.0000 0.0000 0.5000  6 Au 2.74-2.94, 6 Zn 2.74-2.82
Au 0.0000 0.5000 0.0000  6 Zn 2.74-2.82, 6 Au 2.74-2.94
Zn 0.5000 0.7821 0.2179  10 Au 2.75-2.82
Zn 0.5000 0.2179 0.7821  10 Au 2.75-2.82
Zn 0.0000 0.5000 0.5000  8 Au 2.61-2.74

D(E_F)	2.3	states/eV/cell
energy	-0.23740	Ry per atom
mass density	15.5	g/cm³
offset from the most stable computed form	0	meV/atom